(1)
The following is a DFT calculation (GGA-PBE) of a relaxed Er3TmZn8 crystal.

Values from the calculation:
**Formation energy from the elements**: -0.331 eV/atom

Geometry as CIF:
```
data_Er3TmZn8
_symmetry_space_group_name_H-M 'R 3 m'
_symmetry_Int_Tables_number 160
_symmetry_space_group_name_Hall 'R 3 -2"'
_cell_length_a 5.4360
_cell_length_b 5.4360
_cell_length_c 26.4719
_cell_angle_alpha 90.00
_cell_angle_beta 90.00
_cell_angle_gamma 120.00
loop_
_atom_site_label
_atom_site_fract_x
_atom_site_fract_y
_atom_site_fract_z
Er1 0.0000 0.0000 0.0000
Er2 0.0000 0.0000 0.1248
Er3 0.0000 0.0000 0.6247
Tm1 0.0000 0.0000 0.4999
Zn1 0.0000 0.0000 0.3124
Zn2 0.0000 0.0000 0.8124
Zn3 0.0001 0.5001 0.0625
Zn4 0.9998 0.4999 0.5623
```

(2)
The following is a DFT calculation (GGA-PBE) of a relaxed ErTm2Zn6 crystal.

Values from the calculation:
**Formation energy from the elements**: -0.381 eV/atom

Geometry as CIF:
```
data_ErTm2Zn6
_symmetry_space_group_name_H-M 'P 6/m m m'
_symmetry_Int_Tables_number 191
_symmetry_space_group_name_Hall '-P 6 2'
_cell_length_a 7.6966
_cell_length_b 7.6966
_cell_length_c 3.4433
_cell_angle_alpha 90.00
_cell_angle_beta 90.00
_cell_angle_gamma 120.00
loop_
_atom_site_label
_atom_site_fract_x
_atom_site_fract_y
_atom_site_fract_z
Er1 0.0000 0.0000 0.0000
Tm1 0.3333 0.6667 0.0000
Zn1 0.0000 0.3337 0.5000
```

(3)
The following is a DFT calculation (GGA-PBE) of a relaxed Er6TmZn2 crystal.

Values from the calculation:
**Formation energy from the elements**: -0.145 eV/atom

Geometry as CIF:
```
data_Er6TmZn2
_symmetry_space_group_name_H-M 'C 1 2/m 1'
_symmetry_Int_Tables_number 12
_symmetry_space_group_name_Hall '-C 2y'
_cell_length_a 12.314
_cell_length_b 3.575
_cell_length_c 11.651
_cell_angle_alpha 90.00
_cell_angle_beta 109.80
_cell_angle_gamma 90.00
loop_
_atom_site_label
_atom_site_fract_x
_atom_site_fract_y
_atom_site_fract_z
Er1 0.025 0.000 0.327
Er2 0.183 0.500 0.588
Er3 0.190 0.500 0.876
Tm1 0.000 0.000 0.000
Zn1 0.150 0.500 0.202
```

(4)
The following is a DFT calculation (GGA-PBE) of a relaxed Er4Tm3Zn4 crystal.

Values from the calculation:
**Formation energy from the elements**: -0.124 eV/atom

Geometry as CIF:
```
data_Er4Tm3Zn4
_symmetry_space_group_name_H-M 'I m m m'
_symmetry_Int_Tables_number 71
_symmetry_space_group_name_Hall '-I 2 2'
_cell_length_a 5.043
_cell_length_b 6.828
_cell_length_c 16.002
_cell_angle_alpha 90.00
_cell_angle_beta 90.00
_cell_angle_gamma 90.00
loop_
_atom_site_label
_atom_site_fract_x
_atom_site_fract_y
_atom_site_fract_z
Er1 0.000 0.234 0.180
Tm1 0.000 0.000 0.399
Tm2 0.000 0.500 0.500
Zn1 0.000 0.313 0.000
Zn2 0.000 0.500 0.320
```

(5)
The following is a DFT calculation (GGA-PBE) of a relaxed ErTm6Zn2 crystal.

Values from the calculation:
**Formation energy from the elements**: -0.144 eV/atom

Geometry as CIF:
```
data_ErTm6Zn2
_symmetry_space_group_name_H-M 'C 1 2/m 1'
_symmetry_Int_Tables_number 12
_symmetry_space_group_name_Hall '-C 2y'
_cell_length_a 12.270
_cell_length_b 3.560
_cell_length_c 11.613
_cell_angle_alpha 90.00
_cell_angle_beta 109.68
_cell_angle_gamma 90.00
loop_
_atom_site_label
_atom_site_fract_x
_atom_site_fract_y
_atom_site_fract_z
Er1 0.000 0.000 0.000
Tm1 0.024 0.000 0.328
Tm2 0.184 0.500 0.587
Tm3 0.190 0.500 0.875
Zn1 0.150 0.500 0.206
```

(6)
The following is a DFT calculation (GGA-PBE) of a relaxed Er4Tm9Zn11 crystal.

Values from the calculation:
**Formation energy from the elements**: -0.246 eV/atom

Geometry as CIF:
```
data_Er4Tm9Zn11
_symmetry_space_group_name_H-M 'C m m m'
_symmetry_Int_Tables_number 65
_symmetry_space_group_name_Hall '-C 2 2'
_cell_length_a 15.296
_cell_length_b 20.870
_cell_length_c 3.397
_cell_angle_alpha 90.00
_cell_angle_beta 90.00
_cell_angle_gamma 90.00
loop_
_atom_site_label
_atom_site_fract_x
_atom_site_fract_y
_atom_site_fract_z
Er1 0.169 0.086 0.000
Tm1 0.000 0.000 0.000
Tm2 0.113 0.408 0.000
Tm3 0.114 0.237 0.000
Zn1 0.000 0.131 0.500
Zn2 0.000 0.324 0.500
Zn3 0.000 0.500 0.500
Zn4 0.215 0.500 0.500
Zn5 0.234 0.318 0.500
```

(7)
The following is a DFT calculation (GGA-PBE) of a relaxed Er3Tm4Zn crystal.

Values from the calculation:
**Formation energy from the elements**: -0.068 eV/atom

Geometry as CIF:
```
data_Er3Tm4Zn
_symmetry_space_group_name_H-M 'P 4/m m m'
_symmetry_Int_Tables_number 123
_symmetry_space_group_name_Hall '-P 4 2'
_cell_length_a 3.498
_cell_length_b 3.498
_cell_length_c 18.464
_cell_angle_alpha 90.00
_cell_angle_beta 90.00
_cell_angle_gamma 90.00
loop_
_atom_site_label
_atom_site_fract_x
_atom_site_fract_y
_atom_site_fract_z
Er1 0.000 0.000 0.000
Er2 0.000 0.000 0.267
Tm1 0.500 0.500 0.135
Tm2 0.500 0.500 0.404
Zn1 0.000 0.000 0.500
```

(8)
The following is a DFT calculation (GGA-PBE) of a relaxed Er4Tm3Zn crystal.

Values from the calculation:
**Formation energy from the elements**: -0.066 eV/atom

Geometry as CIF:
```
data_Er4Tm3Zn
_symmetry_space_group_name_H-M 'P 4/m m m'
_symmetry_Int_Tables_number 123
_symmetry_space_group_name_Hall '-P 4 2'
_cell_length_a 3.504
_cell_length_b 3.504
_cell_length_c 18.452
_cell_angle_alpha 90.00
_cell_angle_beta 90.00
_cell_angle_gamma 90.00
loop_
_atom_site_label
_atom_site_fract_x
_atom_site_fract_y
_atom_site_fract_z
Er1 0.000 0.000 0.096
Er2 0.000 0.000 0.366
Tm1 0.500 0.500 0.233
Tm2 0.500 0.500 0.500
Zn1 0.500 0.500 0.000
```

(9)
The following is a DFT calculation (GGA-PBE) of a relaxed ErTmZn4 crystal.

Values from the calculation:
**Formation energy from the elements**: 0.026 eV/atom
**Excess energy over the best structure of this formula in the dataset**: 2.42 eV/f.u.

Geometry as CIF:
```
data_ErTmZn4
_symmetry_space_group_name_H-M 'P 1 2/m 1'
_symmetry_Int_Tables_number 10
_symmetry_space_group_name_Hall '-P 2y'
_cell_length_a 3.818
_cell_length_b 3.704
_cell_length_c 9.583
_cell_angle_alpha 90.00
_cell_angle_beta 90.12
_cell_angle_gamma 90.00
loop_
_atom_site_label
_atom_site_fract_x
_atom_site_fract_y
_atom_site_fract_z
Er1 0.000 0.000 0.000
Tm1 0.500 0.500 0.500
Zn1 0.001 0.500 0.747
Zn2 0.500 0.000 0.249
```

(10)
The following is a DFT calculation (GGA-PBE) of a relaxed Er3Tm2Zn2 crystal.

Values from the calculation:
**Formation energy from the elements**: -0.161 eV/atom
**Excess energy over the best structure of this formula in the dataset**: 0.00 eV/f.u.

Geometry as CIF:
```
data_Er3Tm2Zn2
_symmetry_space_group_name_H-M 'C 1 2/m 1'
_symmetry_Int_Tables_number 12
_symmetry_space_group_name_Hall '-C 2y'
_cell_length_a 12.808
_cell_length_b 3.622
_cell_length_c 8.852
_cell_angle_alpha 90.00
_cell_angle_beta 115.75
_cell_angle_gamma 90.00
loop_
_atom_site_label
_atom_site_fract_x
_atom_site_fract_y
_atom_site_fract_z
Er1 0.000 0.000 0.000
Er2 0.111 0.000 0.442
Tm1 0.146 0.500 0.811
Zn1 0.181 0.500 0.222
```

(11)
The following is a DFT calculation (GGA-PBE) of a relaxed ErTm4Zn2 crystal.

Values from the calculation:
**Formation energy from the elements**: 0.133 eV/atom

Geometry as CIF:
```
data_ErTm4Zn2
_symmetry_space_group_name_H-M 'R -3 m'
_symmetry_Int_Tables_number 166
_symmetry_space_group_name_Hall '-R 3 2"'
_cell_length_a 4.8812
_cell_length_b 4.8812
_cell_length_c 29.0976
_cell_angle_alpha 90.00
_cell_angle_beta 90.00
_cell_angle_gamma 120.00
loop_
_atom_site_label
_atom_site_fract_x
_atom_site_fract_y
_atom_site_fract_z
Er1 0.0000 0.0000 0.0000
Tm1 0.0000 0.0000 0.2018
Tm2 0.0000 0.0000 0.3988
Zn1 0.0000 0.0000 0.1000
```

(12)
The following is a DFT calculation (GGA-PBE) of a relaxed Er5TmZn6 crystal.

Values from the calculation:
**Formation energy from the elements**: -0.350 eV/atom

Geometry as CIF:
```
data_Er5TmZn6
_symmetry_space_group_name_H-M 'C m m m'
_symmetry_Int_Tables_number 65
_symmetry_space_group_name_Hall '-C 2 2'
_cell_length_a 4.992
_cell_length_b 14.998
_cell_length_c 7.079
_cell_angle_alpha 90.00
_cell_angle_beta 90.00
_cell_angle_gamma 90.00
loop_
_atom_site_label
_atom_site_fract_x
_atom_site_fract_y
_atom_site_fract_z
Er1 0.000 0.000 0.000
Er2 0.000 0.333 0.000
Er3 0.000 0.334 0.500
Tm1 0.000 0.000 0.500
Zn1 0.000 0.166 0.251
Zn2 0.000 0.500 0.251
```

(13)
The following is a DFT calculation (GGA-PBE) of a relaxed ErTm5Zn4 crystal.

Values from the calculation:
**Formation energy from the elements**: -0.276 eV/atom

Geometry as CIF:
```
data_ErTm5Zn4
_symmetry_space_group_name_H-M 'P 4/m m m'
_symmetry_Int_Tables_number 123
_symmetry_space_group_name_Hall '-P 4 2'
_cell_length_a 3.515
_cell_length_b 3.515
_cell_length_c 19.127
_cell_angle_alpha 90.00
_cell_angle_beta 90.00
_cell_angle_gamma 90.00
loop_
_atom_site_label
_atom_site_fract_x
_atom_site_fract_y
_atom_site_fract_z
Er1 0.000 0.000 0.000
Tm1 0.500 0.500 0.131
Tm2 0.500 0.500 0.316
Tm3 0.500 0.500 0.500
Zn1 0.000 0.000 0.224
Zn2 0.000 0.000 0.407
```

(14)
The following is a DFT calculation (GGA-PBE) of a relaxed ErTm2Zn9 crystal.

Values from the calculation:
**Formation energy from the elements**: -0.308 eV/atom

Geometry as CIF:
```
data_ErTm2Zn9
_symmetry_space_group_name_H-M 'R -3 m'
_symmetry_Int_Tables_number 166
_symmetry_space_group_name_Hall '-R 3 2"'
_cell_length_a 5.4042
_cell_length_b 5.4042
_cell_length_c 25.4746
_cell_angle_alpha 90.00
_cell_angle_beta 90.00
_cell_angle_gamma 120.00
loop_
_atom_site_label
_atom_site_fract_x
_atom_site_fract_y
_atom_site_fract_z
Er1 0.0000 0.0000 0.0000
Tm1 0.0000 0.0000 0.1399
Zn1 0.0000 0.0000 0.3349
Zn2 0.0000 0.0000 0.5000
Zn3 0.0064 0.5032 0.9171
```

(15)
The following is a DFT calculation (GGA-PBE) of a relaxed ErTmZr crystal.

Values from the calculation:
**Formation energy from the elements**: 0.112 eV/atom
**Excess energy over the best structure of this formula in the dataset**: 0.24 eV/f.u.

Geometry as CIF:
```
data_ErTmZr
_symmetry_space_group_name_H-M 'P -6 m 2'
_symmetry_Int_Tables_number 187
_symmetry_space_group_name_Hall 'P -6 2'
_cell_length_a 5.3102
_cell_length_b 5.3102
_cell_length_c 3.3579
_cell_angle_alpha 90.00
_cell_angle_beta 90.00
_cell_angle_gamma 120.00
loop_
_atom_site_label
_atom_site_fract_x
_atom_site_fract_y
_atom_site_fract_z
Er1 0.0000 0.0000 0.0000
Tm1 0.6667 0.3333 0.5000
Zr1 0.3333 0.6667 0.5000
```

(16)
The following is a DFT calculation (GGA-PBE) of a relaxed ErTmZr crystal.

Values from the calculation:
**Formation energy from the elements**: 0.122 eV/atom
**Excess energy over the best structure of this formula in the dataset**: 0.27 eV/f.u.

Geometry as CIF:
```
data_ErTmZr
_symmetry_space_group_name_H-M 'P 1 21/m 1'
_symmetry_Int_Tables_number 11
_symmetry_space_group_name_Hall '-P 2yb'
_cell_length_a 3.319
_cell_length_b 5.012
_cell_length_c 9.989
_cell_angle_alpha 90.00
_cell_angle_beta 99.48
_cell_angle_gamma 90.00
loop_
_atom_site_label
_atom_site_fract_x
_atom_site_fract_y
_atom_site_fract_z
Er1 0.128 0.250 0.255
Tm1 0.452 0.250 0.906
Zr1 0.287 0.250 0.575
```

(17)
The following is a DFT calculation (GGA-PBE) of a relaxed Er6Tm2Zr crystal.

Values from the calculation:
**Formation energy from the elements**: 0.366 eV/atom
**Excess energy over the best structure of this formula in the dataset**: 2.74 eV/f.u.

Geometry as CIF:
```
data_Er6Tm2Zr
_symmetry_space_group_name_H-M 'R 3 m'
_symmetry_Int_Tables_number 160
_symmetry_space_group_name_Hall 'R 3 -2"'
_cell_length_a 7.2208
_cell_length_b 7.2208
_cell_length_c 18.6916
_cell_angle_alpha 90.00
_cell_angle_beta 90.00
_cell_angle_gamma 120.00
loop_
_atom_site_label
_atom_site_fract_x
_atom_site_fract_y
_atom_site_fract_z
Er1 0.1697 0.3393 0.0000
Er2 0.1880 0.3760 0.1944
Tm1 0.0000 0.0000 0.6754
Tm2 0.0000 0.0000 0.8506
Zr1 0.0000 0.0000 0.1185
```

(18)
The following is a DFT calculation (GGA-PBE) of a relaxed Er5Tm5Zr crystal.

Values from the calculation:
**Formation energy from the elements**: 0.309 eV/atom

Geometry as CIF:
```
data_Er5Tm5Zr
_symmetry_space_group_name_H-M 'C 1 2/m 1'
_symmetry_Int_Tables_number 12
_symmetry_space_group_name_Hall '-C 2y'
_cell_length_a 18.346
_cell_length_b 5.777
_cell_length_c 6.811
_cell_angle_alpha 90.00
_cell_angle_beta 111.56
_cell_angle_gamma 90.00
loop_
_atom_site_label
_atom_site_fract_x
_atom_site_fract_y
_atom_site_fract_z
Er1 0.000 0.000 0.000
Er2 0.128 0.500 0.130
Er3 0.176 0.500 0.677
Tm1 0.000 0.500 0.500
Tm2 0.172 0.000 0.432
Tm3 0.173 0.000 0.913
Zr1 0.000 0.000 0.500
```

(19)
The following is a DFT calculation (GGA-PBE) of a relaxed Er7Tm12Zr crystal.

Values from the calculation:
**Formation energy from the elements**: 0.268 eV/atom
**Excess energy over the best structure of this formula in the dataset**: 0.00 eV/f.u.

Geometry as CIF:
```
data_Er7Tm12Zr
_symmetry_space_group_name_H-M 'R -3'
_symmetry_Int_Tables_number 148
_symmetry_space_group_name_Hall '-R 3'
_cell_length_a 12.0572
_cell_length_b 12.0572
_cell_length_c 14.9191
_cell_angle_alpha 90.00
_cell_angle_beta 90.00
_cell_angle_gamma 120.00
loop_
_atom_site_label
_atom_site_fract_x
_atom_site_fract_y
_atom_site_fract_z
Er1 0.0000 0.0000 0.0000
Er2 0.0743 0.4844 0.0857
Tm1 0.0161 0.5742 0.7028
Tm2 0.0373 0.8523 0.8055
Zr1 0.0000 0.0000 0.5000
```

(20)
The following is a DFT calculation (GGA-PBE) of a relaxed ErTmZr crystal.

Values from the calculation:
**Formation energy from the elements**: 0.074 eV/atom
**Excess energy over the best structure of this formula in the dataset**: 0.13 eV/f.u.

Geometry as CIF:
```
data_ErTmZr
_symmetry_space_group_name_H-M 'P 3 m 1'
_symmetry_Int_Tables_number 156
_symmetry_space_group_name_Hall 'P 3 -2"'
_cell_length_a 3.3830
_cell_length_b 3.3830
_cell_length_c 8.3295
_cell_angle_alpha 90.00
_cell_angle_beta 90.00
_cell_angle_gamma 120.00
loop_
_atom_site_label
_atom_site_fract_x
_atom_site_fract_y
_atom_site_fract_z
Er1 0.0000 0.0000 0.0000
Tm1 0.3333 0.6667 0.6348
Zr1 0.6667 0.3333 0.3180
```